NaScIn2 (GGA-PBE, optimized geometry); total moment = 0.000 Bohr magnetons per cell; ΔE to the lowest computed polymorph = 0.565 eV/atom; DFT total energy = -2.9700 eV per atom; formation energy from the elements = 311.9 meV/atom; SG = No. 71
1.0
-5.144 1.150 -4.543
0.290 1.754 6.728
6.055 1.451 3.107
Na Sc In
1 1 2
direct
0.000 0.000 0.000 Na
0.000 0.500 0.500 Sc
0.000 0.250 0.250 In
0.000 0.750 0.750 In